Material: As2HOs
Method: DFT, PBEsol
State: relaxed

Computed properties:
N(E_F) in states/eV per atom: 0.391
E in eV/atom: -5.860
Volume in A^3/atom: 15.65
ρ in g/cm³: 9.05
Symmetry: No. 122

Unit cell a=5.1919 b=5.1919 c=5.9209 alpha=116.00 beta=116.00 gamma=90.00
Closest atoms and distances in Å follow each position.
Fractional coordinates of all 8 atoms:
1 H 0.7500 0.2500 0.5000  4 As 2.01
2 H 0.5000 0.5000 0.0000  4 As 2.01
3 As 0.4299 0.8750 0.2500  2 H 2.01
4 As 0.8201 0.3750 0.2500  2 H 2.01
5 As 0.1250 0.1799 0.7500  2 H 2.01
6 As 0.6250 0.5701 0.7500  2 H 2.01
7 Os 0.2500 0.7500 0.5000  4 As 2.35
8 Os 0.0000 0.0000 0.0000  4 As 2.35


Material: As2HOsSe
Method: DFT, PBEsol
State: relaxed

Computed properties:
N(E_F) in states/eV per atom: 0.637
E in eV/atom: -5.014
Volume in A^3/atom: 13.92
ρ in g/cm³: 10.02
Symmetry: No. 123

Unit cell a=3.8741 b=3.8741 c=4.6386 alpha=90.00 beta=90.00 gamma=90.00
Closest atoms and distances in Å follow each position.
Fractional coordinates of all 5 atoms:
1 H 0.0000 0.0000 0.0000  4 As 1.94
2 As 0.0000 0.5000 0.0000  2 H 1.94
3 As 0.5000 0.0000 0.0000  2 H 1.94
4 Os 0.5000 0.5000 0.5000  4 Se 2.74, 8 As 3.02
5 Se 0.0000 0.0000 0.5000  2 H 2.32


Material: AsPH3
Method: DFT, PBEsol
State: relaxed

Computed properties:
N(E_F) in states/eV per atom: 0.468
E in eV/atom: -3.280
Volume in A^3/atom: 9.33
ρ in g/cm³: 3.88
Symmetry: No. 221

Unit cell a=3.5997 b=3.5997 c=3.5997 alpha=90.00 beta=90.00 gamma=90.00
Closest atoms and distances in Å follow each position.
Fractional coordinates of all 5 atoms:
1 P 0.5000 0.5000 0.5000  12 H 2.55
2 As 0.0000 0.0000 0.0000  6 H 1.80
3 H 0.0000 0.5000 0.0000  2 As 1.80
4 H 0.0000 0.0000 0.5000  2 As 1.80
5 H 0.5000 0.0000 0.0000  2 As 1.80


Material: AsH2PdPb
Method: DFT, PBEsol
State: relaxed

Computed properties:
N(E_F) in states/eV per atom: 0.269
E in eV/atom: -4.154
Volume in A^3/atom: 14.81
ρ in g/cm³: 8.76
Symmetry: No. 123

Unit cell a=3.8506 b=3.8506 c=4.9941 alpha=90.00 beta=90.00 gamma=90.00
Closest atoms and distances in Å follow each position.
Fractional coordinates of all 5 atoms:
1 Pb 0.5000 0.5000 0.5000  4 Pd 2.72
2 H 0.0000 0.5000 0.0000  2 As 1.93
3 H 0.5000 0.0000 0.0000  2 As 1.93
4 As 0.0000 0.0000 0.0000  4 H 1.93
5 Pd 0.0000 0.0000 0.5000  2 As 2.50, 4 Pb 2.72


Material: AsH2PdRh
Method: DFT, PBEsol
State: relaxed

Computed properties:
N(E_F) in states/eV per atom: 0.368
E in eV/atom: -4.877
Volume in A^3/atom: 12.36
ρ in g/cm³: 7.69
Symmetry: No. 123

Unit cell a=3.4233 b=3.4233 c=5.2727 alpha=90.00 beta=90.00 gamma=90.00
Closest atoms and distances in Å follow each position.
Fractional coordinates of all 5 atoms:
1 H 0.0000 0.5000 0.0000  2 Rh 1.71
2 H 0.5000 0.0000 0.0000  2 Rh 1.71
3 As 0.5000 0.5000 0.5000  4 Pd 2.42
4 Rh 0.0000 0.0000 0.0000  4 H 1.71
5 Pd 0.0000 0.0000 0.5000  4 As 2.42, 2 Rh 2.64


Material: As2HPt
Method: DFT, PBEsol
State: relaxed

Computed properties:
N(E_F) in states/eV per atom: 0.340
E in eV/atom: -4.970
Volume in A^3/atom: 13.75
ρ in g/cm³: 10.44
Symmetry: No. 225

Unit cell a=4.2692 b=4.2692 c=4.2692 alpha=60.00 beta=60.00 gamma=60.00
Closest atoms and distances in Å follow each position.
Fractional coordinates of all 4 atoms:
1 H 0.0000 0.0000 0.0000  8 As 2.61
2 As 0.2500 0.2500 0.2500  4 H 2.61, 4 Pt 2.61
3 As 0.7500 0.7500 0.7500  4 H 2.61, 4 Pt 2.61
4 Pt 0.5000 0.5000 0.5000  8 As 2.61


Material: AsHPt2
Method: DFT, PBEsol
State: relaxed

Computed properties:
N(E_F) in states/eV per atom: 0.353
E in eV/atom: -5.652
Volume in A^3/atom: 14.06
ρ in g/cm³: 13.76
Symmetry: No. 122

Unit cell a=4.9119 b=4.9119 c=5.8144 alpha=114.99 beta=114.99 gamma=90.00
Closest atoms and distances in Å follow each position.
Fractional coordinates of all 8 atoms:
1 H 0.7500 0.2500 0.5000  4 Pt 1.85
2 H 0.5000 0.5000 0.0000  4 Pt 1.85
3 As 0.2500 0.7500 0.5000  4 Pt 2.41
4 As 0.0000 0.0000 0.0000  4 Pt 2.41
5 Pt 0.7763 0.3750 0.2500  2 H 1.85
6 Pt 0.4737 0.8750 0.2500  2 H 1.85
7 Pt 0.6250 0.5263 0.7500  2 H 1.85
8 Pt 0.1250 0.2237 0.7500  2 H 1.85


Material: Rb3AsH
Method: DFT, PBEsol
State: relaxed

Computed properties:
N(E_F) in states/eV per atom: 0.733
E in eV/atom: -2.418
Volume in A^3/atom: 32.44
ρ in g/cm³: 3.40
Symmetry: No. 221

Unit cell a=5.4533 b=5.4533 c=5.4533 alpha=90.00 beta=90.00 gamma=90.00
Closest atoms and distances in Å follow each position.
Fractional coordinates of all 5 atoms:
1 H 0.0000 0.0000 0.0000  6 Rb 2.73
2 As 0.5000 0.5000 0.5000  12 Rb 3.86
3 Rb 0.0000 0.5000 0.0000  2 H 2.73
4 Rb 0.0000 0.0000 0.5000  2 H 2.73
5 Rb 0.5000 0.0000 0.0000  2 H 2.73


Material: RbAsH2
Method: DFT, PBEsol
State: relaxed

Computed properties:
N(E_F) in states/eV per atom: 0.407
E in eV/atom: -2.472
Volume in A^3/atom: 15.41
ρ in g/cm³: 4.38
Symmetry: No. 225

Unit cell a=4.4338 b=4.4338 c=4.4338 alpha=60.00 beta=60.00 gamma=60.00
Closest atoms and distances in Å follow each position.
Fractional coordinates of all 4 atoms:
1 H 0.2500 0.2500 0.2500  4 As 2.72, 4 Rb 2.72
2 H 0.7500 0.7500 0.7500  4 Rb 2.72, 4 As 2.72
3 As 0.0000 0.0000 0.0000  8 H 2.72
4 Rb 0.5000 0.5000 0.5000  8 H 2.72


Material: RbAsH
Method: DFT, PBEsol
State: relaxed

Computed properties:
N(E_F) in states/eV per atom: 0.000
E in eV/atom: -3.384
Volume in A^3/atom: 29.52
ρ in g/cm³: 3.03
Symmetry: No. 1

Unit cell a=5.1962 b=6.3427 c=6.3718 alpha=73.03 beta=68.96 gamma=66.58
Closest atoms and distances in Å follow each position.
Fractional coordinates of all 6 atoms:
1 H 0.2020 0.9708 0.0878  1 As 1.57
2 H 0.0375 0.2078 0.5305  1 As 1.58
3 As 0.3263 0.8208 0.8953  1 H 1.57
4 As 0.3505 0.1293 0.5644  1 H 1.58
5 Rb 0.0452 0.7304 0.5227  2 H 2.75-3.03
6 Rb 0.6093 0.2082 0.9755  3 H 2.84-3.09


Material: ReAsHSe2
Method: DFT, PBEsol
State: relaxed

Computed properties:
N(E_F) in states/eV per atom: 0.847
E in eV/atom: -4.925
Volume in A^3/atom: 22.45
ρ in g/cm³: 6.21
Symmetry: No. 123

Unit cell a=4.7675 b=4.8524 c=4.8524 alpha=90.00 beta=90.00 gamma=90.00
Closest atoms and distances in Å follow each position.
Fractional coordinates of all 5 atoms:
1 Re 0.0000 0.0000 0.0000  2 As 2.38, 4 Se 2.43
2 As 0.5000 0.0000 0.0000  2 Re 2.38
3 Se 0.0000 0.0000 0.5000  2 Re 2.43
4 Se 0.0000 0.5000 0.0000  2 Re 2.43
5 H 0.5000 0.5000 0.5000  8 Se 3.40, 4 As 3.43


Material: As3HRh
Method: DFT, PBEsol
State: relaxed

Computed properties:
N(E_F) in states/eV per atom: 0.642
E in eV/atom: -4.394
Volume in A^3/atom: 21.13
ρ in g/cm³: 5.17
Symmetry: No. 221

Unit cell a=4.7275 b=4.7275 c=4.7275 alpha=90.00 beta=90.00 gamma=90.00
Closest atoms and distances in Å follow each position.
Fractional coordinates of all 5 atoms:
1 H 0.5000 0.5000 0.5000  12 As 3.34
2 As 0.0000 0.5000 0.0000  2 Rh 2.36
3 As 0.0000 0.0000 0.5000  2 Rh 2.36
4 As 0.5000 0.0000 0.0000  2 Rh 2.36
5 Rh 0.0000 0.0000 0.0000  6 As 2.36


Material: As2HS
Method: DFT, PBEsol
State: relaxed

Computed properties:
N(E_F) in states/eV per atom: 0.380
E in eV/atom: -3.780
Volume in A^3/atom: 14.39
ρ in g/cm³: 5.28
Symmetry: No. 225

Unit cell a=4.3336 b=4.3336 c=4.3336 alpha=60.00 beta=60.00 gamma=60.00
Closest atoms and distances in Å follow each position.
Fractional coordinates of all 4 atoms:
1 H 0.0000 0.0000 0.0000  8 As 2.65
2 As 0.2500 0.2500 0.2500  4 H 2.65, 4 S 2.65
3 As 0.7500 0.7500 0.7500  4 S 2.65, 4 H 2.65
4 S 0.5000 0.5000 0.5000  8 As 2.65


Material: Sb3AsH
Method: DFT, PBEsol
State: relaxed

Computed properties:
N(E_F) in states/eV per atom: 0.672
E in eV/atom: -3.261
Volume in A^3/atom: 30.91
ρ in g/cm³: 4.74
Symmetry: No. 221

Unit cell a=5.3662 b=5.3662 c=5.3662 alpha=90.00 beta=90.00 gamma=90.00
Closest atoms and distances in Å follow each position.
Fractional coordinates of all 5 atoms:
1 Sb 0.0000 0.5000 0.0000  2 As 2.68
2 Sb 0.0000 0.0000 0.5000  2 As 2.68
3 Sb 0.5000 0.0000 0.0000  2 As 2.68
4 As 0.0000 0.0000 0.0000  6 Sb 2.68
5 H 0.5000 0.5000 0.5000  12 Sb 3.79